Entry 1:
VASP calculation (GGA-PBE) on a geometry-optimized SiSnPd structure.

Its uncorrected formation energy is -17.8 kJ per mole of atoms.

Cell lengths 4.3942, 4.3942, 4.3942 Å; angles 60.00, 60.00, 60.00 degrees
Closest atoms and distances in Å follow each position.
Fractional positions:
Pd  0.2500  0.2500  0.2500  4 Sn 2.69, 4 Si 2.69
Sn  0.5000  0.5000  0.5000  4 Pd 2.69
Si  0.0000  0.0000  0.0000  4 Pd 2.69

---

Entry 2:
VASP calculation (GGA-PBE) on a geometry-optimized Si2SnPd2 structure.

Its uncorrected formation energy is -10.6 kJ per mole of atoms.

Cell lengths 7.7646, 7.7646, 2.8281 Å; angles 90.00, 90.00, 90.00 degrees
Closest atoms and distances in Å follow each position.
Fractional positions:
Pd  0.6592  0.8408  0.5000  6 Si 2.65-2.74, 2 Pd 2.83
Si  0.6276  0.1276  0.0000  6 Pd 2.65-2.74, 3 Si 2.80-2.83
Si  0.3724  0.8724  0.0000  6 Pd 2.65-2.74, 3 Si 2.80-2.83
Si  0.1276  0.3724  0.0000  6 Pd 2.65-2.74, 3 Si 2.80-2.83
Pd  0.3408  0.1592  0.5000  6 Si 2.65-2.74, 2 Pd 2.83
Sn  0.5000  0.5000  0.0000  2 Sn 2.83, 4 Si 3.06
Pd  0.1592  0.6592  0.5000  6 Si 2.65-2.74, 2 Pd 2.83
Pd  0.8408  0.3408  0.5000  6 Si 2.65-2.74, 2 Pd 2.83
Si  0.8724  0.6276  0.0000  6 Pd 2.65-2.74, 3 Si 2.80-2.83
Sn  0.0000  0.0000  0.0000  2 Sn 2.83, 4 Si 3.06

---

Entry 3:
VASP calculation (GGA-PBE) on a geometry-optimized Si2SnPd7 structure.

Its uncorrected formation energy is -58.8 kJ per mole of atoms.

Cell lengths 4.0107, 4.0107, 10.3249 Å; angles 101.20, 101.20, 90.00 degrees
Closest atoms and distances in Å follow each position.
Fractional positions:
Pd  0.8949  0.3949  0.7898  2 Si 2.44
Pd  0.5000  0.5000  0.0000  4 Sn 2.84, 8 Pd 2.89
Pd  0.7500  0.2500  0.5000  4 Si 2.50
Sn  0.0000  0.0000  0.0000  12 Pd 2.84-2.89
Si  0.6748  0.6748  0.3496  8 Pd 2.44-2.50
Pd  0.6051  0.1051  0.2102  2 Si 2.44
Pd  0.3949  0.8949  0.7898  2 Si 2.44
Si  0.3252  0.3252  0.6504  8 Pd 2.44-2.50
Pd  0.1051  0.6051  0.2102  2 Si 2.44
Pd  0.2500  0.7500  0.5000  4 Si 2.50

---

Entry 4:
VASP calculation (GGA-PBE) on a geometry-optimized SiSnPd2 structure.

Its uncorrected formation energy is -20.6 kJ per mole of atoms.

Cell lengths 4.2497, 4.2497, 8.8866 Å; angles 76.17, 76.17, 90.00 degrees
Closest atoms and distances in Å follow each position.
Fractional positions:
Pd  0.8750  0.8392  0.7500  2 Si 2.52, 2 Sn 2.64, 2 Pd 2.80
Sn  0.7500  0.2500  0.5000  4 Pd 2.64
Pd  0.5892  0.1250  0.2500  2 Si 2.52, 2 Sn 2.64, 2 Pd 2.80
Si  0.2500  0.7500  0.5000  4 Pd 2.52
Si  0.5000  0.5000  0.0000  4 Pd 2.52
Pd  0.1608  0.6250  0.2500  2 Si 2.52, 2 Sn 2.64, 2 Pd 2.80
Pd  0.3750  0.4108  0.7500  2 Si 2.52, 2 Sn 2.64, 2 Pd 2.80
Sn  0.0000  0.0000  0.0000  4 Pd 2.64

---

Entry 5:
VASP calculation (GGA-PBE) on a geometry-optimized SiSnPd structure.

Its uncorrected formation energy is -19.8 kJ per mole of atoms.

Cell lengths 3.3150, 3.3150, 11.1105 Å; angles 98.58, 98.58, 90.00 degrees
Closest atoms and distances in Å follow each position.
Fractional positions:
Sn  0.4242  0.4242  0.8484  1 Si 3.02, 4 Pd 3.10, 5 Sn 3.29-3.32
Si  0.7149  0.7149  0.4298  5 Pd 2.52-2.55, 4 Si 2.80
Si  0.2851  0.2851  0.5702  5 Pd 2.52-2.55, 4 Si 2.80
Sn  0.5758  0.5758  0.1516  1 Si 3.02, 4 Pd 3.10, 5 Sn 3.29-3.32
Pd  0.8310  0.8310  0.6620  5 Si 2.52-2.55
Pd  0.1690  0.1690  0.3380  5 Si 2.52-2.55

---

Entry 6:
VASP calculation (GGA-PBE) on a geometry-optimized SiSn2Pd structure.

Its uncorrected formation energy is 14.4 kJ per mole of atoms.

Cell lengths 6.2834, 6.2834, 7.1614 Å; angles 63.98, 63.98, 90.00 degrees
Closest atoms and distances in Å follow each position.
Fractional positions:
Sn  0.1237  0.6250  0.2500  2 Pd 2.62, 2 Si 2.63
Pd  0.0000  0.0000  0.0000  4 Sn 2.62
Sn  0.6263  0.1250  0.2500  2 Pd 2.62, 2 Si 2.63
Si  0.2500  0.7500  0.5000  4 Sn 2.63
Si  0.5000  0.5000  0.0000  4 Sn 2.63
Pd  0.7500  0.2500  0.5000  4 Sn 2.62
Sn  0.3750  0.3737  0.7500  2 Pd 2.62, 2 Si 2.63
Sn  0.8750  0.8763  0.7500  2 Pd 2.62, 2 Si 2.63

---

no.,volume (Å³/atom)
1,20.0
2,17.1
3,16.0
4,18.9
5,19.9
6,27.7